1.
An optimized crystal structure of Tb2MgAl3Zn4, computed with GGA-PBE.

Cell and atoms, written as POSCAR:
```
Tb2MgAl3Zn4
1.0
4.236 0.000 0.000
0.000 4.236 0.000
0.000 0.000 10.804
Tb Mg Al Zn
2 1 3 4
Cartesian
0.000 2.118 2.554
2.118 0.000 8.250
0.000 0.000 5.402
0.000 2.118 9.379
2.118 0.000 1.425
2.118 2.118 5.402
0.000 0.000 0.000
0.000 2.118 6.959
2.118 0.000 3.845
2.118 2.118 0.000
```

Crystal system: tetragonal
Magnetization in μB/atom: 0.00
Electronic total energy in eV/cell: -30.498
Formation energy in eV/atom: -0.3319

2.
An optimized crystal structure of TbMgZrAl, computed with GGA-PBE.

Cell and atoms, written as POSCAR:
```
TbMgZrAl
1.0
0.000 3.556 3.556
3.556 0.000 3.556
3.556 3.556 0.000
Tb Mg Zr Al
1 1 1 1
Cartesian
0.000 0.000 0.000
1.778 1.778 1.778
3.556 3.556 3.556
5.334 5.334 5.334
```

Crystal system: cubic
Magnetization in μB/atom: 0.00
Electronic total energy in eV/cell: -19.238
Formation energy in eV/atom: -0.1807